Material: V2PbO4
Method: DFT, PBE+U
State: optimized geometry

a = 6.3611 Å, b = 6.3611 Å, c = 6.4610 Å
α = 118.97°, β = 118.97°, γ = 89.88°
Closest atoms and distances in Å follow each position.
Positions (direct):
V1 0.0000 0.0000 0.0000  6 O 2.09-2.10
V2 0.0000 0.0000 0.5000  6 O 2.09-2.10
V3 0.0000 0.5000 0.0000  6 O 2.06-2.16
V4 0.5000 0.0000 0.5000  6 O 2.06-2.16
Pb1 0.3782 0.6218 0.7500  4 O 2.33-2.35
Pb2 0.6218 0.3782 0.2500  4 O 2.33-2.35
O1 0.1790 0.2243 0.9431  3 V 2.07-2.10
O2 0.2243 0.1790 0.4431  3 V 2.07-2.10
O3 0.2293 0.7694 0.0451  3 V 2.06-2.16
O4 0.2306 0.7707 0.4549  3 V 2.06-2.16
O5 0.7694 0.2293 0.5451  3 V 2.06-2.16
O6 0.7707 0.2306 0.9549  3 V 2.06-2.16
O7 0.7757 0.8210 0.5569  3 V 2.07-2.10
O8 0.8210 0.7757 0.0569  3 V 2.07-2.10

Values from the calculation:
total energy	-101.05	eV/cell
magnetic moment	8.00	Bohr magnetons per cell
ρ	6.500	Mg/m³